A plane-wave DFT calculation with PBE was carried out for Li2LaZnAu2 after structural relaxation.

Cell: 4.523 4.523 6.726 Å, 90.00 90.00 120.00°
Sites, in units of the cell vectors:
Au 0.333 0.667 0.274
Li 0.333 0.667 0.656
La 0.000 0.000 0.000
Au 0.667 0.333 0.726
Li 0.667 0.333 0.344
Zn 0.000 0.000 0.500

## Properties
DFT formation energy: -0.546 eV/atom
electronic total energy: -3.31 eV per atom
DOS at the Fermi energy: 2.22 states/eV/f.u.